Density functional theory data (GGA+U) for a relaxed Li4Ti2Cr3Ni3O16 crystal.

a = 5.893 Å, b = 5.893 Å, c = 9.491 Å
α = 87.66°, β = 87.66°, γ = 58.66°
Sites, in units of the cell vectors:
Li1 0.657 0.657 0.106
Li2 0.998 0.998 0.006
Li3 0.996 0.996 0.507
Li4 0.339 0.339 0.601
Ti1 0.665 0.665 0.500
Ti2 0.331 0.331 0.003
Cr1 0.347 0.838 0.780
Cr2 0.838 0.347 0.780
Cr3 0.171 0.171 0.281
Ni1 0.829 0.829 0.796
Ni2 0.164 0.660 0.286
Ni3 0.660 0.164 0.286
O1 0.338 0.847 0.406
O2 0.522 0.522 0.658
O3 0.647 0.647 0.896
O4 0.007 0.007 0.699
O5 0.002 0.002 0.195
O6 0.847 0.338 0.406
O7 0.507 0.962 0.657
O8 0.962 0.507 0.657
O9 0.169 0.169 0.899
O10 0.838 0.838 0.404
O11 0.028 0.468 0.158
O12 0.468 0.028 0.158
O13 0.330 0.330 0.387
O14 0.177 0.664 0.909
O15 0.473 0.473 0.166
O16 0.664 0.177 0.909

Computed properties:
E_tot ... -6.58 eV/atom
Mass density ... 4.20 g cm⁻³